Record 1
Density functional theory data (PBE) for a geometry-optimized PrTh3Ge4 structure.

Summary:
Its space group is P2/c, No. 13. The formation energy comes out at -6.00 eV per formula unit.

Unit cell a=7.473 b=8.583 c=7.471 alpha=90.00 beta=109.34 gamma=90.00
Fractional positions:
Pr (0.000, 0.125, 0.250)
Pr (0.000, 0.875, 0.750)
Th (0.000, 0.375, 0.750)
Th (0.000, 0.625, 0.250)
Th (0.500, 0.125, 0.750)
Th (0.500, 0.375, 0.250)
Th (0.500, 0.625, 0.750)
Th (0.500, 0.875, 0.250)
Ge (0.251, 0.377, 0.501)
Ge (0.251, 0.623, 0.001)
Ge (0.253, 0.126, 0.000)
Ge (0.253, 0.874, 0.500)
Ge (0.747, 0.126, 0.500)
Ge (0.747, 0.874, 0.000)
Ge (0.749, 0.377, 0.999)
Ge (0.749, 0.623, 0.499)



Record 2
Density functional theory data (PBE) for a geometry-optimized PrTh2Ge3 structure.

Summary:
Its space group is P2_1/c, No. 14. The formation energy comes out at -4.44 eV per formula unit.

Unit cell a=6.103 b=12.844 c=8.659 alpha=90.00 beta=90.00 gamma=90.00
Fractional positions:
Pr (0.250, 0.083, 0.126)
Pr (0.250, 0.417, 0.626)
Pr (0.750, 0.583, 0.374)
Pr (0.750, 0.917, 0.874)
Th (0.250, 0.084, 0.625)
Th (0.250, 0.416, 0.125)
Th (0.251, 0.749, 0.625)
Th (0.251, 0.751, 0.125)
Th (0.749, 0.249, 0.875)
Th (0.749, 0.251, 0.375)
Th (0.750, 0.584, 0.875)
Th (0.750, 0.916, 0.375)
Ge (0.249, 0.249, 0.875)
Ge (0.249, 0.251, 0.375)
Ge (0.250, 0.584, 0.372)
Ge (0.250, 0.585, 0.878)
Ge (0.250, 0.915, 0.378)
Ge (0.250, 0.916, 0.872)
Ge (0.750, 0.084, 0.128)
Ge (0.750, 0.085, 0.622)
Ge (0.750, 0.415, 0.122)
Ge (0.750, 0.416, 0.628)
Ge (0.751, 0.749, 0.625)
Ge (0.751, 0.751, 0.125)



Record 3
Density functional theory data (PBE) for a geometry-optimized PrTh2Ge structure.

Summary:
Its space group is P4/mmm, No. 123. The formation energy comes out at -0.98 eV per formula unit.

Unit cell a=4.816 b=4.816 c=4.853 alpha=90.00 beta=90.00 gamma=90.00
Fractional positions:
Pr (0.000, 0.000, 0.000)
Th (0.000, 0.500, 0.500)
Th (0.500, 0.000, 0.500)
Ge (0.500, 0.500, 0.000)